1.
Cs2ThTlI6 | Alexandria | PBE | relaxed; size of the total moment = 0.37 Bohr magnetons per cell; symmetry = No. 166; density of states at the Fermi level = 3.0 states/eV per cell; formation energy (no corrections) = -1.163 eV/atom; DFT total energy = -3.24 eV per atom
1.0
9.3864 0.0000 0.0000
4.6932 8.1289 0.0000
4.6932 2.7096 14.4109
I Cs Th Tl
12 4 2 2
Direct
0.8847 0.3589 0.3975
0.1946 0.7379 0.8729
0.8054 0.8054 0.1271
0.6411 0.1153 0.6025
0.3589 0.8847 0.3975
0.1153 0.6411 0.6025
0.8054 0.2621 0.1271
0.7379 0.1946 0.8729
0.1946 0.1946 0.8729
0.2621 0.8054 0.1271
0.3589 0.3589 0.3975
0.6411 0.6411 0.6025
0.1277 0.1277 0.6169
0.8723 0.8723 0.3831
0.2742 0.2742 0.1775
0.7258 0.7258 0.8225
0.5000 0.5000 0.5000
0.0000 0.0000 0.0000
0.4206 0.4206 0.7381
0.5794 0.5794 0.2619

2.
CsTiI3 | Alexandria | PBE | relaxed; size of the total moment = 2.00 Bohr magnetons per cell; symmetry = No. 221; density of states at the Fermi level = 6.3 states/eV per cell; formation energy (no corrections) = -0.924 eV/atom; DFT total energy = -3.60 eV per atom
1.0
-5.0806 2.7968 0.6802
-2.0859 -2.6266 -4.7799
-1.9835 -4.4018 3.2844
I Ti Cs
3 1 1
Direct
0.5000 0.0000 0.0000
0.0000 0.0000 0.5000
0.0000 0.5000 0.0000
0.0000 0.0000 0.0000
0.5000 0.5000 0.5000